## RhPbAu2 (PBE)

Data for RhPbAu2 after structural relaxation.

Cell lengths 4.1388, 4.1388, 4.3966 Å; angles 90.00, 90.00, 90.00 degrees
Element x y z (fractional)
Rh (0.0000, 0.0000, 0.0000)
Pb (0.5000, 0.5000, 0.0000)
Au (0.0000, 0.5000, 0.5000)
Au (0.5000, 0.0000, 0.5000)

Properties
Magnetization in μB per atom: 0.00
Symmetry: P4/mmm, No. 123
E_form in eV/atom: 0.088
DOS at the Fermi energy in states/eV per atom: 0.729